This record from Alexandria via LeMat-Bulk describes a relaxed Rb2Tl2Bi crystal. The functional is PBE.

abc: 5.089 5.089 8.727
angles: 73.05 73.05 90.00
Fractional coordinates of all 5 atoms:
Tl 0.410 0.410 0.179
Tl 0.590 0.590 0.821
Bi 0.000 0.000 0.000
Rb 0.750 0.250 0.500
Rb 0.250 0.750 0.500

Computed properties:
DFT total energy = -1.970 eV/atom
Offset from the most stable computed form = 345.8 meV per atom
Calculated density = 6.36 g/cm³
Volume = 41.18 Å³/atom
N(E_F) = 1.023 states/eV per atom